Entry 1:
A relaxed structure of BaAc2CeO6, computed with GGA-PBE.

Computed properties:
Spin magnetization, μB per atom: 0.006
Space-group type: P4mm (99)

Cell: 5.7988 5.7988 6.1836 Å, 90.00 90.00 90.00°
Fractional positions:
1 Ba 0.0000 0.0000 0.0000
2 Ac 0.0000 0.5000 0.4460
3 Ac 0.5000 0.0000 0.4460
4 Ce 0.5000 0.5000 0.0515
5 O 0.0000 0.0000 0.5918
6 O 0.2650 0.2650 0.2216
7 O 0.2650 0.7350 0.2216
8 O 0.5000 0.5000 0.7027
9 O 0.7350 0.2650 0.2216
10 O 0.7350 0.7350 0.2216


Entry 2:
A relaxed structure of BeIn2Si, computed with GGA-PBE.

Computed properties:
DOS at the Fermi energy, states/eV/f.u.: 1.38
Spin magnetization, μB per atom: 0.000
Space-group type: P4/mmm (123)
Relative energy among the computed polymorphs, eV/f.u.: 1.339

Cell: 3.0672 3.0672 8.1151 Å, 90.00 90.00 90.00°
Fractional positions:
1 Be 0.0000 0.0000 0.0000
2 In 0.5000 0.5000 0.2295
3 In 0.5000 0.5000 0.7705
4 Si 0.0000 0.0000 0.5000


Entry 3:
A relaxed structure of TcBNO2, computed with GGA-PBE.

Computed properties:
DOS at the Fermi energy, states/eV/f.u.: 2.61
Spin magnetization, μB per atom: 0.392
Space-group type: P4/mmm (123)

Cell: 3.2912 3.2912 3.5983 Å, 90.00 90.00 90.00°
Fractional positions:
1 Tc 0.0000 0.0000 0.0000
2 B 0.5000 0.5000 0.5000
3 N 0.5000 0.5000 0.0000
4 O 0.0000 0.5000 0.5000
5 O 0.5000 0.0000 0.5000


| no. | uncorrected formation energy (kcal/mol of atoms) |
| --- | --- |
| 1 | -69.1 |
| 2 | 12.6 |
| 3 | 3.6 |